The following is a PBE calculation of an optimized crystal structure of SrScTiPt2, from the Alexandria database.

density of states at the Fermi level = 5.8 states/eV/cell
symmetry = No. 119
E_form = -0.8675 eV/atom

Lattice parameters (Å, degrees): 4.491 4.491 6.397 110.55 110.55 90.00
Positions (direct):
Pt (0.623, 0.623, 0.247)
Sr (0.000, 0.000, 0.000)
Ti (0.250, 0.750, 0.500)
Sc (0.750, 0.250, 0.500)
Pt (0.377, 0.377, 0.753)



The following is a PBE calculation of an optimized crystal structure of Sr2ScZn3Pt4, from the Alexandria database.

density of states at the Fermi level = 4.7 states/eV/cell
symmetry = No. 115
E_form = -0.7754 eV/atom

Lattice parameters (Å, degrees): 4.291 4.291 11.246 90.00 90.00 90.00
Positions (direct):
Pt (0.500, 0.000, 0.643)
Pt (0.000, 0.500, 0.357)
Sr (0.000, 0.500, 0.771)
Sr (0.500, 0.000, 0.229)
Sc (0.500, 0.500, 0.500)
Pt (0.000, 0.000, 0.000)
Zn (0.000, 0.000, 0.500)
Pt (0.500, 0.500, 0.000)
Zn (0.500, 0.000, 0.873)
Zn (0.000, 0.500, 0.127)



The following is a PBE calculation of an optimized crystal structure of Sc2TaPt, from the Alexandria database.

density of states at the Fermi level = 10.8 states/eV/cell
symmetry = No. 122
E_form = -0.0594 eV/atom
relative energy among the computed polymorphs = 1.73 eV/f.u.

Lattice parameters (Å, degrees): 7.627 7.627 6.088 51.22 51.22 90.00
Positions (direct):
Ta (0.500, 0.500, 0.000)
Sc (0.875, 0.914, 0.750)
Ta (0.250, 0.750, 0.500)
Sc (0.086, 0.625, 0.250)
Sc (0.664, 0.125, 0.250)
Pt (0.750, 0.250, 0.500)
Pt (0.000, 0.000, 0.000)
Sc (0.375, 0.336, 0.750)



The following is a PBE calculation of an optimized crystal structure of Sc2TaPt, from the Alexandria database.

density of states at the Fermi level = 5.5 states/eV/cell
symmetry = No. 166
E_form = -0.2525 eV/atom
relative energy among the computed polymorphs = 0.96 eV/f.u.

Lattice parameters (Å, degrees): 9.338 9.338 9.338 19.30 19.30 19.30
Positions (direct):
Pt (0.750, 0.750, 0.750)
Sc (0.006, 0.006, 0.006)
Sc (0.494, 0.494, 0.494)
Ta (0.250, 0.250, 0.250)



The following is a PBE calculation of an optimized crystal structure of ScTa3Pt, from the Alexandria database.

density of states at the Fermi level = 8.9 states/eV/cell
symmetry = No. 221
E_form = 0.9574 eV/atom
relative energy among the computed polymorphs = 0.00 eV/f.u.

Lattice parameters (Å, degrees): 4.917 4.917 4.917 90.00 90.00 90.00
Positions (direct):
Sc (0.500, 0.500, 0.500)
Ta (0.000, 0.000, 0.500)
Ta (0.500, 0.000, 0.000)
Pt (0.000, 0.000, 0.000)
Ta (0.000, 0.500, 0.000)



The following is a PBE calculation of an optimized crystal structure of ScTa2Pt, from the Alexandria database.

density of states at the Fermi level = 3.8 states/eV/cell
symmetry = No. 99
E_form = -0.3522 eV/atom
relative energy among the computed polymorphs = 0.06 eV/f.u.

Lattice parameters (Å, degrees): 2.934 2.934 8.488 90.00 90.00 90.00
Positions (direct):
Sc (0.500, 0.500, 0.731)
Pt (0.000, 0.000, 0.494)
Ta (0.000, 0.000, 0.008)
Ta (0.500, 0.500, 0.267)



The following is a PBE calculation of an optimized crystal structure of ScTa2Pt, from the Alexandria database.

density of states at the Fermi level = 7.8 states/eV/cell
symmetry = No. 122
E_form = 0.1055 eV/atom
relative energy among the computed polymorphs = 1.89 eV/f.u.

Lattice parameters (Å, degrees): 7.726 7.726 6.089 50.63 50.63 90.00
Positions (direct):
Pt (0.000, 0.000, 0.000)
Ta (0.663, 0.125, 0.250)
Sc (0.250, 0.750, 0.500)
Pt (0.750, 0.250, 0.500)
Ta (0.375, 0.337, 0.750)
Sc (0.500, 0.500, 0.000)
Ta (0.875, 0.913, 0.750)
Ta (0.087, 0.625, 0.250)



The following is a PBE calculation of an optimized crystal structure of ScTa2Pt, from the Alexandria database.

density of states at the Fermi level = 4.7 states/eV/cell
symmetry = No. 47
E_form = -0.1365 eV/atom
relative energy among the computed polymorphs = 0.93 eV/f.u.

Lattice parameters (Å, degrees): 2.904 4.498 5.568 90.00 90.00 90.00
Positions (direct):
Sc (0.500, 0.500, 0.750)
Pt (0.500, 0.500, 0.250)
Ta (0.000, 0.000, 0.999)
Ta (0.000, 0.000, 0.501)